# 1
Ca2PrZn (GGA-PBE, relaxed); total DFT energy (no corrections) = -2.578 eV per atom; M_tot = 0.00 μB/cell; E above lowest polymorph = 76 meV/atom
1.0
3.628 0.000 0.000
0.000 3.628 0.000
0.000 0.000 9.650
Ca Pr Zn
2 1 1
Cartesian
0.000 0.000 1.877
0.000 0.000 7.773
1.814 1.814 4.825
1.814 1.814 0.000

***

# 2
CaPr2Zn (GGA-PBE, relaxed); total DFT energy (no corrections) = -3.221 eV per atom; M_tot = 0.00 μB/cell; E above lowest polymorph = 108 meV/atom
1.0
1.883 1.087 10.919
-1.883 1.087 10.919
0.000 -2.174 10.919
Ca Pr Zn
1 2 1
Cartesian
0.000 0.000 0.000
0.000 0.000 7.681
0.000 0.000 25.077
0.000 0.000 16.379

***

# 3
CaPr2Zn4 (GGA-PBE, relaxed); total DFT energy (no corrections) = -2.457 eV per atom; M_tot = 0.00 μB/cell
1.0
2.546 1.470 8.303
-2.546 1.470 8.303
0.000 -2.940 8.303
Ca Pr Zn
1 2 4
Cartesian
0.000 0.000 0.000
0.000 0.000 6.163
0.000 0.000 18.748
0.000 0.000 3.108
0.000 0.000 9.432
0.000 0.000 15.479
0.000 0.000 21.803

***

Number 1: volume 31.75 Å³/atom. Number 2: volume 33.52 Å³/atom. Number 3: volume 26.63 Å³/atom.